Compound: CaCd2Hg
Source: the Alexandria database
Functional: PBE
Structure: relaxed

abc: 4.994 4.994 7.790
angles: 90.00 90.00 90.00
Atoms (fractional coordinates):
Ca: 0.000 0.000 0.000
Ca: 0.500 0.500 0.500
Cd: 0.000 0.000 0.500
Cd: 0.000 0.500 0.750
Cd: 0.500 0.000 0.250
Cd: 0.500 0.500 0.000
Hg: 0.000 0.500 0.250
Hg: 0.500 0.000 0.750

Output
- raw total energy (eV per atom) = -1.34
- total magnetization (μB/atom) = 0.0000
- DOS at the Fermi energy (states/eV per cell) = 1.96